# La3Au2, optimized geometry, DFT PBE-GGA
# ΔE_f = -0.5490 eV per atom
# Calculated volume = 156.8 Å³ per cell
# Crystal system = trigonal
data_La3Au2
_space_group_name_H-M_alt 'P -3 m 1'
_space_group_IT_number 164
_space_group_name_Hall '-P 3 2"'
_cell_length_a 5.2908
_cell_length_b 5.2908
_cell_length_c 6.4691
_cell_angle_alpha 90.00
_cell_angle_beta 90.00
_cell_angle_gamma 120.00
loop_
_atom_site_label
_atom_site_fract_x
_atom_site_fract_y
_atom_site_fract_z
La1 0.0000 0.0000 0.0000
La2 0.3333 0.6667 0.3230
Au1 0.3333 0.6667 0.8036

---

# Ti2AuI, optimized geometry, DFT PBE-GGA
# Calculated volume = 303.0 Å³ per cell
# Crystal system = cubic
# Energy relative to the elements, uncorrected = 0.08 eV per atom
data_Ti2AuI
_space_group_name_H-M_alt 'F m -3 m'
_space_group_IT_number 225
_space_group_name_Hall '-F 4 2 3'
_cell_length_a 6.716
_cell_length_b 6.716
_cell_length_c 6.716
_cell_angle_alpha 90.00
_cell_angle_beta 90.00
_cell_angle_gamma 90.00
loop_
_atom_site_label
_atom_site_fract_x
_atom_site_fract_y
_atom_site_fract_z
Ti1 0.250 0.250 0.250
Au1 0.000 0.000 0.000
I1 0.000 0.000 0.500

---

# K2SiAg, optimized geometry, DFT PBE-GGA
# Calculated volume = 222.8 Å³ per cell
# Crystal system = tetragonal
# Energy relative to the elements, uncorrected = 0.42 eV per atom
data_K2SiAg
_space_group_name_H-M_alt 'I 4/m m m'
_space_group_IT_number 139
_space_group_name_Hall '-I 4 2'
_cell_length_a 4.577
_cell_length_b 4.577
_cell_length_c 10.634
_cell_angle_alpha 90.00
_cell_angle_beta 90.00
_cell_angle_gamma 90.00
loop_
_atom_site_label
_atom_site_fract_x
_atom_site_fract_y
_atom_site_fract_z
K1 0.000 0.500 0.250
Si1 0.000 0.000 0.000
Ag1 0.000 0.000 0.500

---

# Pa3Cr2Si7, optimized geometry, DFT PBE-GGA
# Calculated volume = 413.8 Å³ per cell
# Crystal system = orthorhombic
# Energy relative to the elements, uncorrected = -0.44 eV per atom
data_Pa3Cr2Si7
_space_group_name_H-M_alt 'C m m m'
_space_group_IT_number 65
_space_group_name_Hall '-C 2 2'
_cell_length_a 4.078
_cell_length_b 25.150
_cell_length_c 4.034
_cell_angle_alpha 90.00
_cell_angle_beta 90.00
_cell_angle_gamma 90.00
loop_
_atom_site_label
_atom_site_fract_x
_atom_site_fract_y
_atom_site_fract_z
Pa1 0.000 0.000 0.000
Pa2 0.000 0.318 0.500
Cr1 0.000 0.131 0.000
Si1 0.000 0.084 0.500
Si2 0.000 0.224 0.000
Si3 0.000 0.415 0.000
Si4 0.000 0.500 0.500

---

# KHPt, optimized geometry, DFT PBE-GGA
# Calculated volume = 137.7 Å³ per cell
# Crystal system = triclinic
data_KHPt
_space_group_name_H-M_alt 'P 1'
_space_group_IT_number 1
_cell_length_a 5.081
_cell_length_b 5.216
_cell_length_c 5.845
_cell_angle_alpha 63.51
_cell_angle_beta 87.48
_cell_angle_gamma 83.34
loop_
_space_group_symop_operation_xyz
'x,y,z'
loop_
_atom_site_label
_atom_site_fract_x
_atom_site_fract_y
_atom_site_fract_z
K1 0.000 0.000 0.000
K2 0.500 0.293 0.415
H1 0.251 0.519 0.939
H2 0.747 0.751 0.475
Pt1 0.025 0.673 0.646
Pt2 0.527 0.612 0.768

---

# Pm5Si2Au, optimized geometry, DFT PBE-GGA
# Calculated volume = 452.5 Å³ per cell
# Crystal system = orthorhombic
# Energy relative to the elements, uncorrected = -0.45 eV per atom
data_Pm5Si2Au
_space_group_name_H-M_alt 'I m m m'
_space_group_IT_number 71
_space_group_name_Hall '-I 2 2'
_cell_length_a 4.179
_cell_length_b 7.249
_cell_length_c 14.938
_cell_angle_alpha 90.00
_cell_angle_beta 90.00
_cell_angle_gamma 90.00
loop_
_atom_site_label
_atom_site_fract_x
_atom_site_fract_y
_atom_site_fract_z
Pm1 0.000 0.000 0.000
Pm2 0.000 0.229 0.362
Si1 0.000 0.000 0.197
Au1 0.000 0.500 0.000

---

# TaRh4Cl, optimized geometry, DFT PBE-GGA
# Calculated volume = 388.2 Å³ per cell
# Crystal system = cubic
# Energy relative to the elements, uncorrected = 0.39 eV per atom
data_TaRh4Cl
_space_group_name_H-M_alt 'F -4 3 m'
_space_group_IT_number 216
_space_group_name_Hall 'F -4 2 3'
_cell_length_a 7.295
_cell_length_b 7.295
_cell_length_c 7.295
_cell_angle_alpha 90.00
_cell_angle_beta 90.00
_cell_angle_gamma 90.00
loop_
_atom_site_label
_atom_site_fract_x
_atom_site_fract_y
_atom_site_fract_z
Ta1 0.000 0.000 0.000
Rh1 0.125 0.125 0.375
Cl1 0.250 0.250 0.750

---

# TbNd8Sm4, optimized geometry, DFT PBE-GGA
# ΔE_f = 0.4047 eV per atom
# Calculated volume = 1431.6 Å³ per cell
# Crystal system = trigonal
data_TbNd8Sm4
_space_group_name_H-M_alt 'R -3 m'
_space_group_IT_number 166
_space_group_name_Hall '-R 3 2"'
_cell_length_a 11.8711
_cell_length_b 11.8711
_cell_length_c 11.7304
_cell_angle_alpha 90.00
_cell_angle_beta 90.00
_cell_angle_gamma 120.00
loop_
_atom_site_label
_atom_site_fract_x
_atom_site_fract_y
_atom_site_fract_z
Tb1 0.0000 0.0000 0.0000
Nd1 0.0000 0.0000 0.2567
Nd2 0.0014 0.5007 0.1679
Sm1 0.0000 0.0000 0.5000
Sm2 0.0000 0.5000 0.5000

---

| no. | ρ (g/cm3) | total energy (eV/atom) |
| --- | --- | --- |
| 1 | 8.6 | -4.8164 |
| 2 | 9.2 | -5.0706 |
| 3 | 3.2 | -2.1987 |
| 4 | 8.0 | -7.5785 |
| 5 | 5.7 | -3.7524 |
| 6 | 7.2 | -5.1882 |
| 7 | 10.7 | -6.7940 |
| 8 | 6.7 | -4.3376 |